# AcSnH8Rh4 | the Alexandria database | PBE-GGA | relaxed
# Final energy ... -4.72 eV per atom
# Fermi-level density of states ... 0.17 states/eV per atom
# ρ ... 8.645 g/cm3
data_AcSnH8Rh4
_chemical_formula_sum 'Ac3 Sn3 H24 Rh12'
_cell_length_a 5.9204
_cell_length_b 5.9204
_cell_length_c 14.5302
_cell_angle_alpha 90.00
_cell_angle_beta 90.00
_cell_angle_gamma 120.00
_space_group_name_H-M_alt 'R 3 m'
_space_group_IT_number 160
_space_group_name_Hall 'R 3 -2"'
loop_
_atom_site_label
_atom_site_fract_x
_atom_site_fract_y
_atom_site_fract_z
Ac1 0.0000 0.0000 0.0000
Sn1 0.0000 0.0000 0.3925
H1 0.0000 0.0000 0.1682
H2 0.0000 0.0000 0.6158
H3 0.1990 0.3980 0.9214
H4 0.2018 0.4036 0.4967
Rh1 0.0000 0.0000 0.7508
Rh2 0.1698 0.3395 0.2107